[1]
# CsC3, optimized geometry, DFT PBEsol
data_CsC3
_symmetry_space_group_name_H-M 'I m m m'
_symmetry_Int_Tables_number 71
_symmetry_space_group_name_Hall '-I 2 2'
_cell_length_a 4.291
_cell_length_b 6.758
_cell_length_c 7.535
_cell_angle_alpha 90.00
_cell_angle_beta 90.00
_cell_angle_gamma 90.00
loop_
_atom_site_label
_atom_site_type_symbol
_atom_site_fract_x
_atom_site_fract_y
_atom_site_fract_z
Cs1 Cs 0.000 0.000 0.000
C1 C 0.000 0.500 0.000
C2 C 0.000 0.500 0.173
# - Raw total energy: -6.001 eV per atom
# - ΔH_f (0 K): 1467 meV/atom
# - Offset from the most stable computed form: 650.8 meV per atom

=====

[2]
# BW, optimized geometry, DFT PBEsol
data_BW
_symmetry_space_group_name_H-M 'I 41/a m d'
_symmetry_Int_Tables_number 141
_cell_length_a 3.122
_cell_length_b 3.122
_cell_length_c 16.878
_cell_angle_alpha 90.00
_cell_angle_beta 90.00
_cell_angle_gamma 90.00
loop_
_symmetry_equiv_pos_as_xyz
'x,y,z'
'-x,-y,-z'
'-y+1/4,x+3/4,z+1/4'
'y+1/4,-x+3/4,-z+1/4'
'-x+1/2,-y,z+1/2'
'x+1/2,y,-z+1/2'
'y+1/4,-x+1/4,z+3/4'
'-y+1/4,x+1/4,-z+3/4'
'x,-y,-z'
'-x,y,z'
'-y+1/4,-x+1/4,-z+3/4'
'y+1/4,x+1/4,z+3/4'
'-x+1/2,y,-z+1/2'
'x+1/2,-y,z+1/2'
'y+1/4,x+3/4,-z+1/4'
'-y+1/4,-x+3/4,z+1/4'
'x+1/2,y+1/2,z+1/2'
'-x+1/2,-y+1/2,-z+1/2'
'-y+3/4,x+1/4,z+3/4'
'y+3/4,-x+1/4,-z+3/4'
'-x,-y+1/2,z'
'x,y+1/2,-z'
'y+3/4,-x+3/4,z+1/4'
'-y+3/4,x+3/4,-z+1/4'
'x+1/2,-y+1/2,-z+1/2'
'-x+1/2,y+1/2,z+1/2'
'-y+3/4,-x+3/4,-z+1/4'
'y+3/4,x+3/4,z+1/4'
'-x,y+1/2,-z'
'x,-y+1/2,z'
'y+3/4,x+1/4,-z+3/4'
'-y+3/4,-x+1/4,z+3/4'
loop_
_atom_site_label
_atom_site_type_symbol
_atom_site_fract_x
_atom_site_fract_y
_atom_site_fract_z
B1 B 0.000 0.250 0.031
W1 W 0.000 0.250 0.178
# - Raw total energy: -10.845 eV per atom
# - ΔH_f (0 K): -433 meV/atom
# - Offset from the most stable computed form: 0.0 meV per atom

=====

[3]
# BaLiGa3, optimized geometry, DFT PBEsol
data_BaLiGa3
_symmetry_space_group_name_H-M 'P m -3 m'
_symmetry_Int_Tables_number 221
_symmetry_space_group_name_Hall '-P 4 2 3'
_cell_length_a 5.887
_cell_length_b 5.887
_cell_length_c 5.887
_cell_angle_alpha 90.00
_cell_angle_beta 90.00
_cell_angle_gamma 90.00
loop_
_atom_site_label
_atom_site_type_symbol
_atom_site_fract_x
_atom_site_fract_y
_atom_site_fract_z
Ba1 Ba 0.000 0.000 0.000
Li1 Li 0.500 0.500 0.500
Ga1 Ga 0.000 0.000 0.500
# - Raw total energy: -1.942 eV per atom
# - ΔH_f (0 K): 885 meV/atom

=====

[4]
# LuPO4, optimized geometry, DFT PBEsol
data_LuPO4
_symmetry_space_group_name_H-M 'I 41/a'
_symmetry_Int_Tables_number 88
_cell_length_a 4.731
_cell_length_b 4.731
_cell_length_c 10.847
_cell_angle_alpha 90.00
_cell_angle_beta 90.00
_cell_angle_gamma 90.00
loop_
_symmetry_equiv_pos_as_xyz
'x,y,z'
'-x,-y,-z'
'-y+3/4,x+1/4,z+1/4'
'y+3/4,-x+1/4,-z+1/4'
'-x+1/2,-y,z+1/2'
'x+1/2,y,-z+1/2'
'y+3/4,-x+3/4,z+3/4'
'-y+3/4,x+3/4,-z+3/4'
'x+1/2,y+1/2,z+1/2'
'-x+1/2,-y+1/2,-z+1/2'
'-y+1/4,x+3/4,z+3/4'
'y+1/4,-x+3/4,-z+3/4'
'-x,-y+1/2,z'
'x,y+1/2,-z'
'y+1/4,-x+1/4,z+1/4'
'-y+1/4,x+1/4,-z+1/4'
loop_
_atom_site_label
_atom_site_type_symbol
_atom_site_fract_x
_atom_site_fract_y
_atom_site_fract_z
Lu1 Lu 0.000 0.250 0.125
P1 P 0.000 0.250 0.625
O1 O 0.133 0.496 0.701
# - Formation energy from raw total energies: -3.0335 eV/atom
# - Raw total energy: -8.310 eV per atom
# - Offset from the most stable computed form: 80.8 meV per atom

=====

[5]
# CsHfAs2Br, optimized geometry, DFT PBEsol
data_CsHfAs2Br
_symmetry_space_group_name_H-M 'P 4/m m m'
_symmetry_Int_Tables_number 123
_symmetry_space_group_name_Hall '-P 4 2'
_cell_length_a 5.115
_cell_length_b 5.115
_cell_length_c 5.672
_cell_angle_alpha 90.00
_cell_angle_beta 90.00
_cell_angle_gamma 90.00
loop_
_atom_site_label
_atom_site_type_symbol
_atom_site_fract_x
_atom_site_fract_y
_atom_site_fract_z
Cs1 Cs 0.000 0.000 0.000
Hf1 Hf 0.500 0.500 0.500
As1 As 0.000 0.500 0.500
Br1 Br 0.500 0.500 0.000
# - Formation energy from raw total energies: -0.6371 eV/atom
# - Raw total energy: -5.343 eV per atom

=====

[6]
# LiYCd, optimized geometry, DFT PBEsol
data_LiYCd
_symmetry_space_group_name_H-M 'I 4 m m'
_symmetry_Int_Tables_number 107
_symmetry_space_group_name_Hall 'I 4 -2'
_cell_length_a 3.691
_cell_length_b 3.691
_cell_length_c 9.904
_cell_angle_alpha 90.00
_cell_angle_beta 90.00
_cell_angle_gamma 90.00
loop_
_atom_site_label
_atom_site_type_symbol
_atom_site_fract_x
_atom_site_fract_y
_atom_site_fract_z
Li1 Li 0.000 0.000 0.000
Y1 Y 0.000 0.000 0.312
Cd1 Cd 0.000 0.000 0.634
# - Raw total energy: -3.482 eV per atom
# - ΔH_f (0 K): -153 meV/atom
# - Offset from the most stable computed form: 36.5 meV per atom

=====

[7]
# AlAg3, optimized geometry, DFT PBEsol
data_AlAg3
_symmetry_space_group_name_H-M 'F m -3 m'
_symmetry_Int_Tables_number 225
_symmetry_space_group_name_Hall '-F 4 2 3'
_cell_length_a 6.374
_cell_length_b 6.374
_cell_length_c 6.374
_cell_angle_alpha 90.00
_cell_angle_beta 90.00
_cell_angle_gamma 90.00
loop_
_atom_site_label
_atom_site_type_symbol
_atom_site_fract_x
_atom_site_fract_y
_atom_site_fract_z
Al1 Al 0.000 0.000 0.000
Ag1 Ag 0.000 0.000 0.500
Ag2 Ag 0.250 0.250 0.250
# - Raw total energy: -3.573 eV per atom
# - ΔH_f (0 K): -67 meV/atom

=====

[8]
# Hf2GeAuO, optimized geometry, DFT PBEsol
data_Hf2GeAuO
_symmetry_space_group_name_H-M 'P 4/m m m'
_symmetry_Int_Tables_number 123
_symmetry_space_group_name_Hall '-P 4 2'
_cell_length_a 4.212
_cell_length_b 4.212
_cell_length_c 4.680
_cell_angle_alpha 90.00
_cell_angle_beta 90.00
_cell_angle_gamma 90.00
loop_
_atom_site_label
_atom_site_type_symbol
_atom_site_fract_x
_atom_site_fract_y
_atom_site_fract_z
Hf1 Hf 0.000 0.500 0.000
Ge1 Ge 0.000 0.000 0.500
Au1 Au 0.500 0.500 0.500
O1 O 0.500 0.500 0.000
# - Formation energy from raw total energies: -0.7839 eV/atom
# - Raw total energy: -7.808 eV per atom

=====

[9]
# ZrMnN2, optimized geometry, DFT PBEsol
data_ZrMnN2
_symmetry_space_group_name_H-M 'R -3 m'
_symmetry_Int_Tables_number 166
_symmetry_space_group_name_Hall '-R 3 2"'
_cell_length_a 3.2975
_cell_length_b 3.2975
_cell_length_c 17.3626
_cell_angle_alpha 90.00
_cell_angle_beta 90.00
_cell_angle_gamma 120.00
loop_
_atom_site_label
_atom_site_type_symbol
_atom_site_fract_x
_atom_site_fract_y
_atom_site_fract_z
Zr1 Zr 0.0000 0.0000 0.0000
Mn1 Mn 0.0000 0.0000 0.5000
N1 N 0.0000 0.0000 0.3952
# - Formation energy from raw total energies: -0.7718 eV/atom
# - Raw total energy: -9.748 eV per atom

=====

[10]
# FeCuRe, optimized geometry, DFT PBEsol
data_FeCuRe
_symmetry_space_group_name_H-M 'F -4 3 m'
_symmetry_Int_Tables_number 216
_symmetry_space_group_name_Hall 'F -4 2 3'
_cell_length_a 5.485
_cell_length_b 5.485
_cell_length_c 5.485
_cell_angle_alpha 90.00
_cell_angle_beta 90.00
_cell_angle_gamma 90.00
loop_
_atom_site_label
_atom_site_type_symbol
_atom_site_fract_x
_atom_site_fract_y
_atom_site_fract_z
Fe1 Fe 0.000 0.000 0.000
Cu1 Cu 0.250 0.250 0.750
Re1 Re 0.250 0.250 0.250
# - Raw total energy: -8.233 eV per atom
# - ΔH_f (0 K): 644 meV/atom
# - Offset from the most stable computed form: 423.7 meV per atom

=====

[11]
# Lu3TlC, optimized geometry, DFT PBEsol
data_Lu3TlC
_symmetry_space_group_name_H-M 'P m -3 m'
_symmetry_Int_Tables_number 221
_symmetry_space_group_name_Hall '-P 4 2 3'
_cell_length_a 4.716
_cell_length_b 4.716
_cell_length_c 4.716
_cell_angle_alpha 90.00
_cell_angle_beta 90.00
_cell_angle_gamma 90.00
loop_
_atom_site_label
_atom_site_type_symbol
_atom_site_fract_x
_atom_site_fract_y
_atom_site_fract_z
Lu1 Lu 0.000 0.000 0.500
Tl1 Tl 0.500 0.500 0.500
C1 C 0.000 0.000 0.000
# - Raw total energy: -5.970 eV per atom
# - ΔH_f (0 K): -592 meV/atom

=====

[12]
# ReTcSe3, optimized geometry, DFT PBEsol
data_ReTcSe3
_symmetry_space_group_name_H-M 'P m -3 m'
_symmetry_Int_Tables_number 221
_symmetry_space_group_name_Hall '-P 4 2 3'
_cell_length_a 4.764
_cell_length_b 4.764
_cell_length_c 4.764
_cell_angle_alpha 90.00
_cell_angle_beta 90.00
_cell_angle_gamma 90.00
loop_
_atom_site_label
_atom_site_type_symbol
_atom_site_fract_x
_atom_site_fract_y
_atom_site_fract_z
Re1 Re 0.000 0.000 0.000
Tc1 Tc 0.500 0.500 0.500
Se1 Se 0.000 0.500 0.500
# - Formation energy from raw total energies: 1.3835 eV/atom
# - Raw total energy: -5.846 eV per atom

=====

[13]
# BeNb3Br, optimized geometry, DFT PBEsol
data_BeNb3Br
_symmetry_space_group_name_H-M 'P m -3 m'
_symmetry_Int_Tables_number 221
_symmetry_space_group_name_Hall '-P 4 2 3'
_cell_length_a 4.471
_cell_length_b 4.471
_cell_length_c 4.471
_cell_angle_alpha 90.00
_cell_angle_beta 90.00
_cell_angle_gamma 90.00
loop_
_atom_site_label
_atom_site_type_symbol
_atom_site_fract_x
_atom_site_fract_y
_atom_site_fract_z
Be1 Be 0.000 0.000 0.000
Nb1 Nb 0.000 0.000 0.500
Br1 Br 0.500 0.500 0.500
# - Formation energy from raw total energies: 0.9348 eV/atom
# - Raw total energy: -6.732 eV per atom